Entry 1:
12
Lattice="3.9725 0.0000 0.0000 0.0000 4.9777 0.0000 0.0000 0.0000 8.6555" Properties=species:S:1:pos:R:3 comment="PBE AcDyNi10, optimized geometry" density_g_cm3=9.474 final_energy_ev_per_fu=-69.71 pbc="T T T"
Ac 0.0000 0.0000 0.0000
Dy 0.0000 2.4888 4.3277
Ni 0.0000 0.0000 2.9594
Ni 0.0000 0.0000 5.6960
Ni 0.0000 2.4888 1.5392
Ni 0.0000 2.4888 7.1163
Ni 1.9862 0.0000 4.3277
Ni 1.9862 1.2651 2.2446
Ni 1.9862 1.2651 6.4108
Ni 1.9862 2.4888 0.0000
Ni 1.9862 3.7125 2.2446
Ni 1.9862 3.7125 6.4108

Entry 2:
4
Lattice="3.7645 0.0000 0.0000 0.0000 3.7645 0.0000 0.0000 0.0000 8.9675" Properties=species:S:1:pos:R:3 comment="PBE Ac2DyNi, optimized geometry" density_g_cm3=8.822 final_energy_ev_per_fu=-18.58 relative_energy_mev_per_atom=0 pbc="T T T"
Ac 0.0000 0.0000 1.7709
Ac 0.0000 0.0000 7.1966
Dy 1.8823 1.8823 4.4837
Ni 1.8823 1.8823 0.0000

Entry 3:
3
Lattice="-1.7941 1.7941 6.4499 1.7941 -1.7941 6.4499 1.7941 1.7941 -6.4499" Properties=species:S:1:pos:R:3 comment="PBE AcDyNi, optimized geometry" density_g_cm3=8.962 final_energy_ev_per_fu=-14.86 relative_energy_mev_per_atom=3 pbc="T T T"
Ac 0.0000 0.0000 0.0000
Dy 0.0000 0.0000 3.3708
Ni 0.0000 0.0000 8.4489

These records have M_tot values of 0.245; 0.000; 0.000 μB/atom, in the order they appear.
These records have energy of formation values of -0.266; 0.005; -0.123 eV per atom, in the order they appear.